1.
Tl2CuTe2 | the Alexandria database | GGA-PBE | relaxed; total DFT energy (no corrections) = -3.159 eV/atom; formation energy without anion corrections = -0.682 eV per formula unit; space-group type = No. 141
1.0
-1.6272 3.9541 -0.9232
-4.0604 -1.5826 0.3784
2.8737 2.5506 16.2220
Te Tl Cu
4 4 2
Cartesian
-0.8109 2.3128 0.9717 Te
-2.8315 2.7182 6.2691 Te
0.0177 2.2039 9.4081 Te
-0.7863 5.3776 14.0547 Te
-2.0254 -0.1866 2.7704 Tl
-2.0051 2.3404 13.5575 Tl
0.0101 1.2635 5.3935 Tl
-2.8240 3.6586 10.2836 Tl
-2.8438 1.1858 -0.2724 Cu
-0.7986 3.8452 7.5132 Cu

---

2.
TlCu2Te | the Alexandria database | GGA-PBE | relaxed; total DFT energy (no corrections) = -3.243 eV/atom; formation energy without anion corrections = 0.728 eV per formula unit; relative energy among the computed polymorphs = 0.118 eV/atom; space-group type = No. 122
1.0
4.9961 0.0000 0.0000
0.0000 4.9961 0.0000
2.4981 2.4981 7.8378
Te Tl Cu
2 2 4
Cartesian
2.4981 4.9961 3.9189 Te
2.4981 2.4981 0.0000 Te
0.0000 0.0000 0.0000 Tl
4.9961 2.4981 3.9189 Tl
1.5066 3.7471 1.9594 Cu
3.4895 1.2490 1.9594 Cu
6.2452 5.9876 5.8783 Cu
3.7471 4.0046 5.8783 Cu

---

3.
Tl2CuTe | the Alexandria database | GGA-PBE | relaxed; total DFT energy (no corrections) = -2.814 eV/atom; formation energy without anion corrections = 0.714 eV per formula unit; relative energy among the computed polymorphs = 0.222 eV/atom; space-group type = No. 47
1.0
3.2978 0.0000 0.0000
0.0000 3.7255 0.0000
0.0000 0.0000 8.4681
Cu Tl Te
1 2 1
Cartesian
1.6489 1.8628 2.1170 Cu
0.0000 0.0000 0.4051 Tl
0.0000 0.0000 3.8290 Tl
1.6489 1.8628 6.3511 Te

---

4.
TlCuTe4 | the Alexandria database | GGA-PBE | relaxed; total DFT energy (no corrections) = -2.727 eV/atom; formation energy without anion corrections = 2.668 eV per formula unit; space-group type = No. 216
1.0
1.4251 -6.2494 0.5786
-3.6311 -4.4156 -2.9561
2.3452 -3.2457 -5.0385
Te Tl Cu
4 1 1
Cartesian
-1.7757 -7.4275 -4.2628 Te
1.2326 -6.8386 -5.3110 Te
0.0521 -5.2048 -2.7748 Te
0.7694 -8.3506 -2.4835 Te
0.1044 -10.4330 -5.5620 Tl
0.0000 0.0000 0.0000 Cu